First-principles (GGA-PBE) data for an optimized crystal structure of Ba2SrSb2, as listed in Alexandria.

Values from the calculation:
The uncorrected formation energy is -1.00 eV per atom. As for the crystal system: monoclinic. As for the polymorph energy (0 for the lowest one): 0 meV/atom.

Cell: 11.2465 9.0096 8.9153 Å, 90.00 94.93 90.00°
Last column: nearest neighbours and their distance in Å.
Positions (direct):
Ba1 0.0762 0.2287 0.0247  5 Sb 3.55-3.82
Ba2 0.0762 0.2713 0.5247  5 Sb 3.55-3.82
Ba3 0.3091 0.6991 0.9724  4 Sb 3.50-3.86
Ba4 0.3091 0.8009 0.4724  4 Sb 3.50-3.86
Ba5 0.6909 0.1991 0.5276  4 Sb 3.50-3.86
Ba6 0.6909 0.3009 0.0276  4 Sb 3.50-3.86
Ba7 0.9238 0.7287 0.4753  5 Sb 3.55-3.82
Ba8 0.9238 0.7713 0.9753  5 Sb 3.55-3.82
Sr1 0.3802 0.1107 0.8319  4 Sb 3.19-3.31
Sr2 0.3802 0.3893 0.3319  4 Sb 3.19-3.31
Sr3 0.6198 0.6107 0.6681  4 Sb 3.19-3.31
Sr4 0.6198 0.8893 0.1681  4 Sb 3.19-3.31
Sb1 0.1244 0.5602 0.2398  1 Sr 3.30, 5 Ba 3.52-3.65
Sb2 0.1244 0.9398 0.7398  1 Sr 3.30, 5 Ba 3.52-3.65
Sb3 0.3687 0.0611 0.1977  3 Sr 3.19-3.31, 1 Ba 3.50
Sb4 0.3687 0.4389 0.6977  3 Sr 3.19-3.31, 1 Ba 3.50
Sb5 0.6313 0.5611 0.3023  3 Sr 3.19-3.31, 1 Ba 3.50
Sb6 0.6313 0.9389 0.8023  3 Sr 3.19-3.31, 1 Ba 3.50
Sb7 0.8756 0.0602 0.2602  1 Sr 3.30, 5 Ba 3.52-3.65
Sb8 0.8756 0.4398 0.7602  1 Sr 3.30, 5 Ba 3.52-3.65



First-principles (GGA-PBE) data for an optimized crystal structure of InGe2Pb, as listed in Alexandria.

Values from the calculation:
As for the crystal system: cubic. As for the polymorph energy (0 for the lowest one): 5 meV/atom. The calculation puts the formation energy at 97 kJ/mol of formula units.

Cell: 5.1662 5.1662 5.1662 Å, 60.00 60.00 60.00°
Last column: nearest neighbours and their distance in Å.
Positions (direct):
In1 0.0000 0.0000 0.0000  8 Ge 3.16
Ge1 0.2500 0.2500 0.2500  4 Pb 3.16, 4 In 3.16
Ge2 0.7500 0.7500 0.7500  4 Pb 3.16, 4 In 3.16
Pb1 0.5000 0.5000 0.5000  8 Ge 3.16



First-principles (GGA-PBE) data for an optimized crystal structure of Cd4Ru3, as listed in Alexandria.

Values from the calculation:
As for the crystal system: tetragonal. The calculation puts the formation energy at 137 kJ/mol of formula units.

Cell: 14.9536 14.9536 14.9536 Å, 168.86 168.86 15.78°
Last column: nearest neighbours and their distance in Å.
Positions (direct):
Cd1 0.0687 0.0687 0.0000  4 Ru 2.89, 4 Cd 2.90
Cd2 0.3466 0.3466 0.0000  8 Cd 2.90-3.24, 4 Ru 2.92
Cd3 0.6534 0.6534 0.0000  8 Cd 2.90-3.24, 4 Ru 2.92
Cd4 0.9313 0.9313 0.0000  4 Ru 2.89, 4 Cd 2.90
Ru1 0.2236 0.2236 0.0000  4 Ru 2.58
Ru2 0.5000 0.5000 0.0000  8 Cd 2.89, 4 Ru 2.90
Ru3 0.7764 0.7764 0.0000  4 Ru 2.58



First-principles (GGA-PBE) data for an optimized crystal structure of BaCo2P, as listed in Alexandria.

Values from the calculation:
As for the crystal system: orthorhombic. The calculation puts the formation energy at 64 kJ/mol of formula units.

Cell: 5.3104 5.3104 5.3104 Å, 141.92 112.67 80.07°
Last column: nearest neighbours and their distance in Å.
Positions (direct):
Ba1 0.0000 0.0000 0.0000  8 Co 3.20-3.29, 4 P 3.42, 2 Ba 3.46
Co1 0.3446 0.8446 0.5000  2 P 2.14
Co2 0.6554 0.1554 0.5000  2 P 2.14
P1 0.5000 0.5000 0.0000  4 Co 2.14